Computed, not measured: a geometry-optimized K3WS4 structure at the PBE level of DFT.

Values from the calculation:
Formation energy (no corrections) (meV per atom): -940
E (eV per atom): -5.0341

abc: 12.2708 6.3997 6.3729
angles: 90.00 90.00 90.00
Space group Pmn2_1 (No. 31)
Unique sites:
K (0.0000, 0.1918, 0.0000) (multiplicity 2)
K (0.2499, 0.2642, 0.5491) (multiplicity 4)
W (0.0000, 0.6465, 0.4387) (multiplicity 2)
S (0.0000, 0.2996, 0.4960) (multiplicity 2)
S (0.0000, 0.6887, 0.0881) (multiplicity 2)
S (0.1621, 0.7710, 0.5572) (multiplicity 4)


Computed, not measured: a geometry-optimized GaAgPdPt structure at the PBE level of DFT.

Values from the calculation:
Energy relative to the elements (eV per atom): -0.321
Distance to the lowest polymorph of the same formula (meV/atom): 93.3
E (eV per atom): -4.5992

abc: 6.3225 6.3225 6.3225
angles: 90.00 90.00 90.00
Space group F-43m (No. 216)
Unique sites:
Ga (0.0000, 0.0000, 0.0000) (multiplicity 4)
Ag (0.0000, 0.0000, 0.5000) (multiplicity 4)
Pd (0.2500, 0.2500, 0.2500) (multiplicity 4)
Pt (0.2500, 0.2500, 0.7500) (multiplicity 4)


Computed, not measured: a geometry-optimized NdAgPd4 structure at the PBE level of DFT.

Values from the calculation:
Energy relative to the elements (eV per atom): -0.520
E (eV per atom): -5.2518

abc: 7.6311 7.6311 7.6311
angles: 90.00 90.00 90.00
Space group F-43m (No. 216)
Unique sites:
Nd (0.0000, 0.0000, 0.0000) (multiplicity 4)
Ag (0.2500, 0.2500, 0.7500) (multiplicity 4)
Pd (0.1247, 0.1247, 0.3753) (multiplicity 16)


Computed, not measured: a geometry-optimized LiPuAs2 structure at the PBE level of DFT.

Values from the calculation:
Energy relative to the elements (eV per atom): -0.621
Distance to the lowest polymorph of the same formula (meV/atom): 163.4
E (eV per atom): -7.0068

abc: 4.1871 4.1871 17.6152
angles: 90.00 90.00 120.00
Space group R3m (No. 160, hexagonal axes)
Unique sites:
Li (0.0000, 0.0000, 0.0000) (multiplicity 3)
Pu (0.0000, 0.0000, 0.1816) (multiplicity 3)
As (0.0000, 0.0000, 0.6059) (multiplicity 3)
As (0.0000, 0.0000, 0.7525) (multiplicity 3)


Computed, not measured: a geometry-optimized Re2HgW structure at the PBE level of DFT.

Values from the calculation:
Energy relative to the elements (eV per atom): 0.499
E (eV per atom): -9.0393

abc: 2.8660 4.0294 5.7950
angles: 90.00 90.28 90.00
Space group Pm (No. 6)
Unique sites:
Re (0.0000, 0.0000, 0.0000) (multiplicity 1)
Re (0.4767, 0.5000, 0.7953) (multiplicity 1)
Hg (0.9835, 0.0000, 0.5063) (multiplicity 1)
W (0.4724, 0.5000, 0.2215) (multiplicity 1)


Computed, not measured: a geometry-optimized YFe2Tc structure at the PBE level of DFT.

Values from the calculation:
Energy relative to the elements (eV per atom): 0.360
Distance to the lowest polymorph of the same formula (meV/atom): 242.2
E (eV per atom): -8.0787

abc: 3.2505 4.5778 8.8075
angles: 90.00 90.00 90.00
Space group Immm (No. 71)
Unique sites:
Y (0.0000, 0.0000, 0.0000) (multiplicity 2)
Fe (0.0000, 0.5000, 0.2279) (multiplicity 4)
Tc (0.0000, 0.0000, 0.5000) (multiplicity 2)


Computed, not measured: a geometry-optimized TiFeRe2 structure at the PBE level of DFT.

Values from the calculation:
Energy relative to the elements (eV per atom): -0.089
E (eV per atom): -10.4023

abc: 3.0811 3.0811 6.0050
angles: 90.00 90.00 90.00
Space group P4/mmm (No. 123)
Unique sites:
Ti (0.0000, 0.0000, 0.0000) (multiplicity 1)
Fe (0.0000, 0.0000, 0.5000) (multiplicity 1)
Re (0.5000, 0.5000, 0.2609) (multiplicity 2)


Computed, not measured: a geometry-optimized KLiSe2 structure at the PBE level of DFT.

Values from the calculation:
Formation energy (no corrections) (meV per atom): -564
E (eV per atom): -3.0596

abc: 3.5347 3.5347 26.2855
angles: 90.00 90.00 120.00
Space group R-3m (No. 166, hexagonal axes)
Unique sites:
K (0.0000, 0.0000, 0.0000) (multiplicity 3)
Li (0.0000, 0.0000, 0.5000) (multiplicity 3)
Se (0.0000, 0.0000, 0.2364) (multiplicity 6)


Computed, not measured: a geometry-optimized PrTmGaPb structure at the PBE level of DFT.

Values from the calculation:
Energy relative to the elements (eV per atom): -0.415
E (eV per atom): -4.4118

abc: 7.5598 7.5598 7.5598
angles: 90.00 90.00 90.00
Space group F-43m (No. 216)
Unique sites:
Pr (0.0000, 0.0000, 0.0000) (multiplicity 4)
Tm (0.0000, 0.0000, 0.5000) (multiplicity 4)
Ga (0.2500, 0.2500, 0.7500) (multiplicity 4)
Pb (0.2500, 0.2500, 0.2500) (multiplicity 4)


Computed, not measured: a geometry-optimized SrHf2Ir structure at the PBE level of DFT.

Values from the calculation:
Energy relative to the elements (eV per atom): 0.207
Distance to the lowest polymorph of the same formula (meV/atom): 0.0
E (eV per atom): -7.4051

abc: 6.9272 6.9272 6.9272
angles: 90.00 90.00 90.00
Space group Fm-3m (No. 225)
Unique sites:
Sr (0.0000, 0.0000, 0.0000) (multiplicity 4)
Hf (0.2500, 0.2500, 0.2500) (multiplicity 8)
Ir (0.0000, 0.0000, 0.5000) (multiplicity 4)


Computed, not measured: a geometry-optimized Ce2TePb structure at the PBE level of DFT.

Values from the calculation:
Formation energy (no corrections) (meV per atom): -735
Distance to the lowest polymorph of the same formula (meV/atom): 129.4
E (eV per atom): -5.4147

abc: 4.4094 4.4094 23.8792
angles: 90.00 90.00 120.00
Space group R3m (No. 160, hexagonal axes)
Unique sites:
Ce (0.0000, 0.0000, 0.0000) (multiplicity 3)
Ce (0.0000, 0.0000, 0.1719) (multiplicity 3)
Te (0.0000, 0.0000, 0.5878) (multiplicity 3)
Pb (0.0000, 0.0000, 0.4179) (multiplicity 3)


Computed, not measured: a geometry-optimized SrEuInHg structure at the PBE level of DFT.

Values from the calculation:
Energy relative to the elements (eV per atom): -0.489
E (eV per atom): -4.2377

abc: 7.9782 7.9782 7.9782
angles: 90.00 90.00 90.00
Space group F-43m (No. 216)
Unique sites:
Sr (0.0000, 0.0000, 0.0000) (multiplicity 4)
Eu (0.0000, 0.0000, 0.5000) (multiplicity 4)
In (0.2500, 0.2500, 0.2500) (multiplicity 4)
Hg (0.2500, 0.2500, 0.7500) (multiplicity 4)